Zn3AsP | PBE | relaxed

a = 4.151 Å, b = 5.698 Å, c = 8.416 Å
α = 91.44°, β = 90.00°, γ = 90.00°
Fractional coordinates of all 10 atoms:
Zn1 0.750 0.258 0.344
Zn2 0.250 0.762 0.658
Zn3 0.250 0.958 0.987
P1 0.750 0.016 0.106
P2 0.250 0.520 0.894
Zn4 0.250 0.278 0.656
Zn5 0.750 0.578 0.013
As1 0.750 0.020 0.605
As2 0.250 0.517 0.395
Zn6 0.750 0.774 0.342

Formation energy from the elements   -8 kJ per mole of atoms
Excess energy over the best structure of this formula in the dataset   0.0 meV per atom
Electronic total energy   -2.8604 eV per atom